The following is a DFT calculation (GGA-PBE) of an optimized crystal structure of FeMoAu2.

Computed properties:
V in Å³/f.u.: 63.9
Space group: Cm, No. 8
E in eV/atom: -6.194

Cell: 4.8378 4.8378 5.0618 Å, 82.20 82.20 32.99°
Closest atoms and distances in Å follow each position.
Fractional positions:
Au 0.9974 0.9974 0.0110  5 Au 2.75-2.92, 3 Mo 2.79-2.83, 4 Fe 2.79-2.97
Au 0.7548 0.7548 0.7402  5 Au 2.75-2.92, 3 Fe 2.80-2.83, 4 Mo 2.81-2.95
Fe 0.5003 0.5003 0.4906  2 Fe 2.75, 3 Mo 2.77-2.79, 7 Au 2.79-2.97
Mo 0.2476 0.2476 0.2582  2 Mo 2.75, 3 Fe 2.77-2.79, 7 Au 2.79-2.95

The following is a DFT calculation (GGA-PBE) of an optimized crystal structure of FeMoAu.

Computed properties:
V in Å³/f.u.: 46.0
Space group: Fmm2, No. 42
E in eV/atom: -7.284

Cell: 6.7952 6.6745 2.7026 Å, 80.94 75.93 23.13°
Closest atoms and distances in Å follow each position.
Fractional positions:
Au 0.9948 0.9948 0.0052  4 Au 2.70, 4 Fe 2.73-3.01, 2 Mo 2.89
Fe 0.3290 0.3290 0.6710  4 Mo 2.60-2.89, 4 Fe 2.70, 2 Au 2.73
Mo 0.6762 0.6762 0.3238  4 Fe 2.60-2.89, 4 Mo 2.70, 2 Au 2.89

The following is a DFT calculation (GGA-PBE) of an optimized crystal structure of FeMoAu3.

Computed properties:
V in Å³/f.u.: 108.6
Space group: Pm-3m, No. 221
E in eV/atom: -4.666

Cell: 4.7709 4.7709 4.7709 Å, 90.00 90.00 90.00°
Closest atoms and distances in Å follow each position.
Fractional positions:
Mo 0.5000 0.5000 0.5000  12 Au 3.37
Au 0.0000 0.5000 0.0000  2 Fe 2.39
Au 0.0000 0.0000 0.5000  2 Fe 2.39
Au 0.5000 0.0000 0.0000  2 Fe 2.39
Fe 0.0000 0.0000 0.0000  6 Au 2.39

What did we get for offset from the most stable computed form? Answer: 0.0879; 0.0000; 0.0000 eV/atom, in the order shown.